Entry 1:
VASP calculation (meta-GGA SCAN) on Mo2P3O14 at its PBEsol-relaxed geometry.

Geometry as CIF:
```
data_Mo2P3O14
_space_group_name_H-M_alt 'P 1'
_space_group_IT_number 1
_cell_length_a 6.411
_cell_length_b 6.415
_cell_length_c 9.188
_cell_angle_alpha 110.17
_cell_angle_beta 107.92
_cell_angle_gamma 90.02
loop_
_space_group_symop_operation_xyz
'x,y,z'
loop_
_atom_site_label
_atom_site_type_symbol
_atom_site_fract_x
_atom_site_fract_y
_atom_site_fract_z
O1 O 0.754 0.422 0.160
O2 O 0.553 0.547 0.394
O3 O 0.460 0.851 0.621
O4 O 0.568 0.267 0.855
O5 O 0.167 0.548 0.395
O6 O 0.155 0.158 0.620
O7 O 0.363 0.037 0.391
O8 O 0.572 0.999 0.020
O9 O 0.459 0.463 0.618
O10 O 0.769 0.159 0.622
O11 O 0.809 0.008 0.995
O12 O 0.862 0.240 0.396
O13 O 0.961 0.654 0.625
O14 O 0.862 0.854 0.397
P1 P 0.672 0.218 0.008
P2 P 0.410 0.603 0.507
P3 P 0.911 0.104 0.508
Mo1 Mo 0.872 0.561 0.421
Mo2 Mo 0.449 0.146 0.594
```

## Properties
N(E_F)	0.2552	states/eV/atom
uncorrected formation energy	-38.25	eV per formula unit
volume	17.6	Å³/atom
energy	-11.918	eV/atom
ρ	2.52	Mg/m³

Entry 2:
VASP calculation (meta-GGA SCAN) on Mo2P4O15 at its PBEsol-relaxed geometry.

Geometry as CIF:
```
data_Mo2P4O15
_space_group_name_H-M_alt 'P 1'
_space_group_IT_number 1
_cell_length_a 6.703
_cell_length_b 8.343
_cell_length_c 10.973
_cell_angle_alpha 105.65
_cell_angle_beta 90.00
_cell_angle_gamma 90.00
loop_
_space_group_symop_operation_xyz
'x,y,z'
loop_
_atom_site_label
_atom_site_type_symbol
_atom_site_fract_x
_atom_site_fract_y
_atom_site_fract_z
O1 O 0.479 0.451 0.170
O2 O 0.250 0.500 0.001
O3 O 0.978 0.550 0.332
O4 O 0.585 0.976 0.174
O5 O 0.719 0.172 0.026
O6 O 0.751 0.296 0.285
O7 O 0.219 0.829 0.476
O8 O 0.314 0.156 0.061
O9 O 0.149 0.763 0.683
O10 O 0.521 0.451 0.670
O11 O 0.251 0.705 0.217
O12 O 0.814 0.845 0.441
O13 O 0.281 0.172 0.526
O14 O 0.186 0.845 0.941
O15 O 0.022 0.550 0.832
O16 O 0.749 0.705 0.717
O17 O 0.415 0.976 0.674
O18 O 0.037 0.327 0.441
O19 O 0.963 0.327 0.941
O20 O 0.781 0.829 0.976
O21 O 0.537 0.675 0.061
O22 O 0.249 0.296 0.785
O23 O 0.085 0.025 0.329
O24 O 0.649 0.239 0.819
O25 O 0.750 0.500 0.501
O26 O 0.351 0.239 0.319
O27 O 0.915 0.025 0.829
O28 O 0.686 0.156 0.561
O29 O 0.851 0.763 0.183
O30 O 0.463 0.675 0.561
P1 P 0.375 0.583 0.123
P2 P 0.802 0.181 0.900
P3 P 0.125 0.418 0.879
P4 P 0.625 0.583 0.623
P5 P 0.198 0.181 0.400
P6 P 0.875 0.418 0.379
P7 P 0.302 0.820 0.602
P8 P 0.698 0.820 0.102
Mo1 Mo 0.493 0.202 0.658
Mo2 Mo 0.993 0.800 0.844
Mo3 Mo 0.507 0.202 0.158
Mo4 Mo 0.007 0.800 0.344
```

## Properties
uncorrected formation energy	-47.95	eV per formula unit
volume	14.1	Å³/atom
energy	-12.037	eV/atom
ρ	3.12	Mg/m³

Entry 3:
VASP calculation (meta-GGA SCAN) on Mo3P3O16 at its PBEsol-relaxed geometry.

Geometry as CIF:
```
data_Mo3P3O16
_space_group_name_H-M_alt 'P 1'
_space_group_IT_number 1
_cell_length_a 6.410
_cell_length_b 7.768
_cell_length_c 12.631
_cell_angle_alpha 80.51
_cell_angle_beta 77.00
_cell_angle_gamma 81.35
loop_
_space_group_symop_operation_xyz
'x,y,z'
loop_
_atom_site_label
_atom_site_type_symbol
_atom_site_fract_x
_atom_site_fract_y
_atom_site_fract_z
O1 O 0.337 0.232 0.166
O2 O 0.491 0.775 0.487
O3 O 0.110 0.761 0.481
O4 O 0.387 0.408 0.845
O5 O 0.389 0.799 0.306
O6 O 0.509 0.225 0.513
O7 O 0.663 0.768 0.834
O8 O 0.935 0.719 0.974
O9 O 0.167 0.043 0.629
O10 O 0.726 0.174 0.177
O11 O 0.435 0.046 0.894
O12 O 0.862 0.601 0.378
O13 O 0.370 0.755 0.007
O14 O 0.890 0.239 0.519
O15 O 0.171 0.608 0.216
O16 O 0.793 0.601 0.610
O17 O 0.565 0.954 0.106
O18 O 0.958 0.353 0.268
O19 O 0.272 0.049 0.413
O20 O 0.728 0.951 0.587
O21 O 0.207 0.399 0.390
O22 O 0.611 0.201 0.694
O23 O 0.833 0.957 0.371
O24 O 0.274 0.826 0.823
O25 O 0.870 0.029 0.843
O26 O 0.065 0.281 0.026
O27 O 0.138 0.399 0.622
O28 O 0.042 0.647 0.732
O29 O 0.630 0.245 0.993
O30 O 0.613 0.592 0.155
O31 O 0.829 0.392 0.784
O32 O 0.130 0.971 0.157
Mo1 Mo 0.594 0.252 0.842
Mo2 Mo 0.406 0.748 0.158
Mo3 Mo 0.032 0.192 0.157
Mo4 Mo 0.968 0.808 0.843
Mo5 Mo 0.201 0.212 0.528
Mo6 Mo 0.799 0.788 0.472
P1 P 0.441 0.848 0.889
P2 P 0.313 0.848 0.422
P3 P 0.946 0.513 0.685
P4 P 0.054 0.487 0.315
P5 P 0.687 0.152 0.578
P6 P 0.559 0.152 0.111
```

## Properties
N(E_F)	0.1318	states/eV/atom
uncorrected formation energy	-49.12	eV per formula unit
volume	13.6	Å³/atom
energy	-12.940	eV/atom
ρ	3.52	Mg/m³

Entry 4:
VASP calculation (meta-GGA SCAN) on Mo2P3O11 at its PBEsol-relaxed geometry.

Geometry as CIF:
```
data_Mo2P3O11
_space_group_name_H-M_alt 'P 1'
_space_group_IT_number 1
_cell_length_a 7.381
_cell_length_b 7.381
_cell_length_c 9.033
_cell_angle_alpha 70.48
_cell_angle_beta 70.48
_cell_angle_gamma 72.12
loop_
_space_group_symop_operation_xyz
'x,y,z'
loop_
_atom_site_label
_atom_site_type_symbol
_atom_site_fract_x
_atom_site_fract_y
_atom_site_fract_z
O1 O 0.486 0.514 0.500
O2 O 0.615 0.745 0.568
O3 O 0.385 0.255 0.932
O4 O 0.534 0.843 0.879
O5 O 0.466 0.157 0.621
O6 O 0.157 0.466 0.121
O7 O 0.770 0.054 0.958
O8 O 0.021 0.137 0.353
O9 O 0.863 0.979 0.647
O10 O 0.720 0.374 0.680
O11 O 0.230 0.946 0.542
O12 O 0.626 0.280 0.320
O13 O 0.843 0.534 0.379
O14 O 0.979 0.863 0.147
O15 O 0.946 0.230 0.042
O16 O 0.054 0.770 0.458
O17 O 0.255 0.385 0.432
O18 O 0.137 0.021 0.853
O19 O 0.745 0.615 0.068
O20 O 0.374 0.720 0.180
O21 O 0.514 0.486 0.000
O22 O 0.280 0.626 0.820
P1 P 0.040 0.960 0.500
P2 P 0.544 0.671 0.038
P3 P 0.960 0.040 0.000
P4 P 0.671 0.544 0.538
P5 P 0.329 0.456 0.962
P6 P 0.456 0.329 0.462
Mo1 Mo 0.365 0.887 0.711
Mo2 Mo 0.113 0.635 0.289
Mo3 Mo 0.635 0.113 0.789
Mo4 Mo 0.887 0.365 0.211
```

## Properties
N(E_F)	0.2159	states/eV/atom
uncorrected formation energy	-35.78	eV per formula unit
volume	13.3	Å³/atom
energy	-12.831	eV/atom
ρ	3.59	Mg/m³

Entry 5:
VASP calculation (meta-GGA SCAN) on MoP2O7 at its PBEsol-relaxed geometry.

Geometry as CIF:
```
data_MoP2O7
_space_group_name_H-M_alt 'P 1'
_space_group_IT_number 1
_cell_length_a 7.209
_cell_length_b 8.327
_cell_length_c 9.525
_cell_angle_alpha 90.00
_cell_angle_beta 109.13
_cell_angle_gamma 90.00
loop_
_space_group_symop_operation_xyz
'x,y,z'
loop_
_atom_site_label
_atom_site_type_symbol
_atom_site_fract_x
_atom_site_fract_y
_atom_site_fract_z
O1 O 0.806 0.181 0.901
O2 O 0.639 0.874 0.901
O3 O 0.103 0.344 0.043
O4 O 0.897 0.656 0.957
O5 O 0.549 0.917 0.332
O6 O 0.639 0.626 0.401
O7 O 0.451 0.417 0.168
O8 O 0.194 0.819 0.099
O9 O 0.806 0.319 0.401
O10 O 0.361 0.126 0.099
O11 O 0.662 0.828 0.603
O12 O 0.662 0.672 0.103
O13 O 0.338 0.328 0.897
O14 O 0.103 0.156 0.543
O15 O 0.897 0.844 0.457
O16 O 0.194 0.681 0.599
O17 O 0.803 0.352 0.113
O18 O 0.990 0.904 0.840
O19 O 0.197 0.852 0.387
O20 O 0.197 0.648 0.887
O21 O 0.549 0.583 0.832
O22 O 0.010 0.096 0.160
O23 O 0.803 0.148 0.613
O24 O 0.361 0.374 0.599
O25 O 0.990 0.596 0.340
O26 O 0.338 0.172 0.397
O27 O 0.010 0.404 0.660
O28 O 0.451 0.083 0.668
Mo1 Mo 0.277 0.994 0.246
Mo2 Mo 0.723 0.494 0.254
Mo3 Mo 0.277 0.506 0.746
Mo4 Mo 0.723 0.006 0.754
P1 P 0.677 0.801 0.448
P2 P 0.677 0.699 0.948
P3 P 0.323 0.301 0.052
P4 P 0.076 0.737 0.443
P5 P 0.323 0.199 0.552
P6 P 0.924 0.263 0.557
P7 P 0.924 0.237 0.057
P8 P 0.076 0.763 0.943
```

## Properties
uncorrected formation energy	-22.89	eV per formula unit
volume	13.5	Å³/atom
polymorph energy (0 for the lowest one)	0.0	meV/atom
energy	-12.219	eV/atom
ρ	3.32	Mg/m³

Entry 6:
VASP calculation (meta-GGA SCAN) on MoP2O7 at its PBEsol-relaxed geometry.

Geometry as CIF:
```
data_MoP2O7
_space_group_name_H-M_alt 'P 1'
_space_group_IT_number 1
_cell_length_a 8.276
_cell_length_b 8.276
_cell_length_c 8.276
_cell_angle_alpha 90.00
_cell_angle_beta 90.00
_cell_angle_gamma 90.00
loop_
_space_group_symop_operation_xyz
'x,y,z'
loop_
_atom_site_label
_atom_site_type_symbol
_atom_site_fract_x
_atom_site_fract_y
_atom_site_fract_z
O1 O 0.584 0.942 0.284
O2 O 0.084 0.558 0.716
O3 O 0.784 0.916 0.058
O4 O 0.058 0.784 0.916
O5 O 0.216 0.416 0.442
O6 O 0.500 0.000 0.000
O7 O 0.442 0.216 0.416
O8 O 0.558 0.716 0.084
O9 O 0.416 0.442 0.216
O10 O 0.916 0.442 0.284
O11 O 0.284 0.916 0.442
O12 O 0.584 0.558 0.784
O13 O 0.058 0.716 0.416
O14 O 0.000 0.500 0.000
O15 O 0.916 0.058 0.784
O16 O 0.284 0.584 0.942
O17 O 0.216 0.084 0.942
O18 O 0.716 0.084 0.558
O19 O 0.784 0.584 0.558
O20 O 0.942 0.216 0.084
O21 O 0.442 0.284 0.916
O22 O 0.084 0.942 0.216
O23 O 0.500 0.500 0.500
O24 O 0.000 0.000 0.500
O25 O 0.716 0.416 0.058
O26 O 0.416 0.058 0.716
O27 O 0.558 0.784 0.584
O28 O 0.942 0.284 0.584
P1 P 0.110 0.890 0.390
P2 P 0.890 0.390 0.110
P3 P 0.890 0.110 0.610
P4 P 0.610 0.610 0.610
P5 P 0.110 0.610 0.890
P6 P 0.390 0.110 0.890
P7 P 0.390 0.390 0.390
P8 P 0.610 0.890 0.110
Mo1 Mo 0.000 0.500 0.500
Mo2 Mo 0.500 0.000 0.500
Mo3 Mo 0.500 0.500 0.000
Mo4 Mo 0.000 0.000 0.000
```

## Properties
N(E_F)	0.3203	states/eV/atom
uncorrected formation energy	-22.56	eV per formula unit
volume	14.2	Å³/atom
polymorph energy (0 for the lowest one)	33.0	meV/atom
energy	-12.187	eV/atom
ρ	3.16	Mg/m³

Entry 7:
VASP calculation (meta-GGA SCAN) on MoP2O7 at its PBEsol-relaxed geometry.

Geometry as CIF:
```
data_MoP2O7
_space_group_name_H-M_alt 'P 1'
_space_group_IT_number 1
_cell_length_a 4.944
_cell_length_b 7.021
_cell_length_c 8.254
_cell_angle_alpha 90.00
_cell_angle_beta 90.00
_cell_angle_gamma 105.71
loop_
_space_group_symop_operation_xyz
'x,y,z'
loop_
_atom_site_label
_atom_site_type_symbol
_atom_site_fract_x
_atom_site_fract_y
_atom_site_fract_z
O1 O 0.851 0.069 0.606
O2 O 0.710 0.489 0.312
O3 O 0.566 0.358 0.621
O4 O 0.141 0.460 0.517
O5 O 0.563 0.909 0.852
O6 O 0.290 0.511 0.812
O7 O 0.437 0.091 0.352
O8 O 0.859 0.540 0.017
O9 O 0.427 0.280 0.090
O10 O 0.002 0.816 0.770
O11 O 0.573 0.720 0.590
O12 O 0.149 0.931 0.106
O13 O 0.434 0.642 0.121
O14 O 0.998 0.184 0.270
P1 P 0.754 0.887 0.711
P2 P 0.246 0.113 0.211
P3 P 0.385 0.503 0.637
P4 P 0.615 0.497 0.137
Mo1 Mo 0.785 0.271 0.448
Mo2 Mo 0.215 0.729 0.948
```

## Properties
uncorrected formation energy	-22.89	eV per formula unit
volume	13.8	Å³/atom
polymorph energy (0 for the lowest one)	0.5	meV/atom
energy	-12.219	eV/atom
ρ	3.25	Mg/m³

Entry 8:
VASP calculation (meta-GGA SCAN) on MoPO3 at its PBEsol-relaxed geometry.

Geometry as CIF:
```
data_MoPO3
_space_group_name_H-M_alt 'P 1'
_space_group_IT_number 1
_cell_length_a 3.698
_cell_length_b 3.698
_cell_length_c 3.698
_cell_angle_alpha 90.00
_cell_angle_beta 90.00
_cell_angle_gamma 90.00
loop_
_space_group_symop_operation_xyz
'x,y,z'
loop_
_atom_site_label
_atom_site_type_symbol
_atom_site_fract_x
_atom_site_fract_y
_atom_site_fract_z
O1 O 0.500 0.000 0.000
O2 O 0.000 0.500 0.000
O3 O 0.000 0.000 0.500
Mo1 Mo 0.500 0.500 0.500
P1 P 0.000 0.000 0.000
```

## Properties
N(E_F)	0.6381	states/eV/atom
uncorrected formation energy	-2.31	eV per formula unit
volume	10.1	Å³/atom
energy	-13.257	eV/atom
ρ	5.74	Mg/m³